Below is crystalline Sc8SnOs2 at its relaxed geometry, with properties calculated at the GGA-PBE level.

## Properties
The value obtained for the magnetization is 0.00 μB/f.u. As for the symmetry: Cm, No. 8. Its formation energy from the elements is -0.36 eV/atom.

abc: 4.851 6.576 8.424
angles: 112.91 106.69 90.12
Fractional positions:
1 Sn 0.137 0.970 0.909
2 Sc 0.522 0.717 0.680
3 Sc 0.142 0.530 0.909
4 Sc 0.309 0.364 0.256
5 Sc 0.927 0.438 0.493
6 Sc 0.962 0.018 0.562
7 Os 0.802 0.617 0.245
8 Sc 0.639 0.264 0.909
9 Os 0.466 0.281 0.572
10 Sc 0.751 0.947 0.139
11 Sc 0.343 0.853 0.325



Below is crystalline BaAcAg2Sn2 at its relaxed geometry, with properties calculated at the GGA-PBE level.

## Properties
The value obtained for the magnetization is 0.00 μB/f.u. As for the symmetry: P-3m1, No. 164. Its formation energy from the elements is -0.54 eV/atom.

abc: 4.942 4.942 8.857
angles: 90.00 90.00 120.00
Fractional positions:
1 Ac 0.000 0.000 0.500
2 Ag 0.667 0.333 0.726
3 Sn 0.667 0.333 0.275
4 Ag 0.333 0.667 0.274
5 Ba 0.000 0.000 0.000
6 Sn 0.333 0.667 0.725



Below is crystalline SrCaIr at its relaxed geometry, with properties calculated at the GGA-PBE level.

## Properties
The value obtained for the magnetization is 0.00 μB/f.u. As for the symmetry: F-43m, No. 216. The distance to the lowest polymorph of the same formula comes out at 0.008 eV/atom. Its formation energy from the elements is -0.14 eV/atom.

abc: 5.010 5.010 5.010
angles: 60.00 60.00 60.00
Fractional positions:
1 Ca 0.500 0.500 0.500
2 Ir 0.750 0.750 0.750
3 Sr 0.000 0.000 0.000



Below is crystalline ThCoNiAs2 at its relaxed geometry, with properties calculated at the GGA-PBE level.

## Properties
The value obtained for the magnetization is 0.07 μB/f.u. As for the symmetry: I-4m2, No. 119. Its formation energy from the elements is -0.73 eV/atom.

abc: 4.115 4.115 5.767
angles: 110.90 110.90 90.00
Site moments in Bohr magnetons follow the coordinates.
Fractional positions:
1 Co 0.750 0.250 0.500  0.06
2 Th 0.000 0.000 0.000  0.00
3 As 0.635 0.635 0.270  0.00
4 Ni 0.250 0.750 0.500  0.01
5 As 0.365 0.365 0.730  0.00



Below is crystalline RbSmBe2F8 at its relaxed geometry, with properties calculated at the GGA-PBE level.

## Properties
The value obtained for the magnetization is 0.18 μB/f.u. As for the energy relative to the elements, uncorrected: -3.47 eV/atom. As for the symmetry: C2/m, No. 12.

abc: 5.104 5.104 8.569
angles: 86.69 86.69 66.42
Site moments in Bohr magnetons follow the coordinates.
Fractional positions:
1 F 0.251 0.714 0.804  0.00
2 F 0.308 0.308 0.624  0.07
3 Be 0.379 0.379 0.778  0.00
4 F 0.258 0.258 0.930  0.00
5 F 0.714 0.251 0.804  0.00
6 F 0.742 0.742 0.070  0.00
7 F 0.749 0.286 0.196  0.00
8 Be 0.621 0.621 0.222  0.00
9 F 0.286 0.749 0.196  0.00
10 F 0.692 0.692 0.376  0.07
11 Sm 0.000 0.000 0.000  0.00
12 Rb 0.000 0.000 0.500  0.00



Below is crystalline ThBe2Pt2C at its relaxed geometry, with properties calculated at the GGA-PBE level.

## Properties
The value obtained for the magnetization is 0.00 μB/f.u. As for the symmetry: I4/mmm, No. 139. Its formation energy from the elements is -0.67 eV/atom.

abc: 3.880 3.880 6.433
angles: 107.55 107.55 90.00
Fractional positions:
1 C 0.000 0.000 0.000
2 Pt 0.750 0.250 0.500
3 Be 0.145 0.145 0.289
4 Pt 0.250 0.750 0.500
5 Th 0.500 0.500 0.000
6 Be 0.855 0.855 0.711



Below is crystalline NaDySnI6 at its relaxed geometry, with properties calculated at the GGA-PBE level.

## Properties
The value obtained for the magnetization is 0.00 μB/f.u. As for the energy relative to the elements, uncorrected: -1.03 eV/atom. As for the symmetry: P-31c, No. 163.

abc: 7.864 7.864 14.059
angles: 90.00 90.00 120.00
Fractional positions:
1 Dy 0.333 0.667 0.750
2 I 0.016 0.665 0.875
3 I 0.665 0.649 0.125
4 Sn 0.000 0.000 0.500
5 Sn 0.000 0.000 0.000
6 I 0.984 0.335 0.125
7 I 0.016 0.351 0.625
8 I 0.984 0.649 0.375
9 I 0.335 0.984 0.625
10 Na 0.333 0.667 0.250
11 I 0.649 0.665 0.625
12 I 0.649 0.984 0.875
13 Dy 0.667 0.333 0.250
14 I 0.665 0.016 0.375
15 I 0.335 0.351 0.875
16 I 0.351 0.016 0.125
17 Na 0.667 0.333 0.750
18 I 0.351 0.335 0.375



Below is crystalline Li2Sm4Mg5 at its relaxed geometry, with properties calculated at the GGA-PBE level.

## Properties
The value obtained for the magnetization is 0.22 μB/f.u. As for the symmetry: P2/m, No. 10. Its formation energy from the elements is 0.03 eV/atom.

abc: 3.340 8.252 10.843
angles: 94.60 90.00 90.00
Site moments in Bohr magnetons follow the coordinates.
Fractional positions:
1 Li 0.000 0.055 0.632  0.00
2 Mg 0.000 0.425 0.711  0.00
3 Li 0.000 0.945 0.368  0.00
4 Mg 0.000 0.204 0.169  0.00
5 Mg 0.000 0.575 0.289  0.00
6 Sm 0.500 0.287 0.445  0.07
7 Sm 0.500 0.713 0.555  0.07
8 Mg 0.000 0.796 0.831  0.00
9 Sm 0.500 0.842 0.112  -0.01
10 Sm 0.500 0.158 0.888  -0.01
11 Mg 0.000 0.500 0.000  0.00



Below is crystalline SrMoPd at its relaxed geometry, with properties calculated at the GGA-PBE level.

## Properties
The value obtained for the magnetization is 0.00 μB/f.u. As for the symmetry: Cm, No. 8. The distance to the lowest polymorph of the same formula comes out at 0.086 eV/atom. Its formation energy from the elements is 0.15 eV/atom.

abc: 6.217 6.766 7.130
angles: 87.35 29.31 95.26
Fractional positions:
1 Mo 0.551 0.886 0.071
2 Mo 0.744 0.729 0.650
3 Pd 0.039 0.890 0.069
4 Sr 0.124 0.526 0.751
5 Sr 0.971 0.247 0.391
6 Pd 0.413 0.121 0.454



Below is crystalline BaUSnO6 at its relaxed geometry, with properties calculated at the GGA-PBE level.

## Properties
The value obtained for the magnetization is 0.00 μB/f.u. As for the energy relative to the elements, uncorrected: -2.59 eV/atom. As for the symmetry: P-31c, No. 163.

abc: 5.628 5.628 11.606
angles: 90.00 90.00 120.00
Fractional positions:
1 O 0.377 0.377 0.849
2 U 0.667 0.333 0.750
3 O 0.377 0.377 0.349
4 O 0.000 0.623 0.849
5 O 0.377 0.000 0.651
6 Sn 0.667 0.333 0.250
7 Ba 0.000 0.000 0.500
8 O 0.000 0.377 0.151
9 O 0.000 0.623 0.349
10 O 0.623 0.000 0.349
11 Sn 0.333 0.667 0.750
12 O 0.000 0.377 0.651
13 Ba 0.000 0.000 0.000
14 U 0.333 0.667 0.250
15 O 0.623 0.623 0.651
16 O 0.623 0.000 0.849
17 O 0.623 0.623 0.151
18 O 0.377 0.000 0.151



Below is crystalline TiIn2Ru at its relaxed geometry, with properties calculated at the GGA-PBE level.

## Properties
The value obtained for the magnetization is 0.00 μB/f.u. As for the symmetry: Fm-3m, No. 225. The distance to the lowest polymorph of the same formula comes out at 0.000 eV/atom. Its formation energy from the elements is -0.01 eV/atom.

abc: 4.650 4.650 4.650
angles: 60.00 60.00 60.00
Fractional positions:
1 In 0.750 0.750 0.750
2 In 0.250 0.250 0.250
3 Ru 0.500 0.500 0.500
4 Ti 0.000 0.000 0.000



Below is crystalline PmTi2Rh2 at its relaxed geometry, with properties calculated at the GGA-PBE level.

## Properties
The value obtained for the magnetization is 0.00 μB/f.u. As for the symmetry: I4/mmm, No. 139. Its formation energy from the elements is -0.66 eV/atom.

abc: 4.279 4.279 6.156
angles: 110.33 110.33 90.00
Fractional positions:
1 Ti 0.750 0.250 0.500
2 Rh 0.376 0.376 0.752
3 Pm 0.000 0.000 0.000
4 Rh 0.624 0.624 0.248
5 Ti 0.250 0.750 0.500



Below is crystalline Pm4NdEr at its relaxed geometry, with properties calculated at the GGA-PBE level.

## Properties
The value obtained for the magnetization is 0.01 μB/f.u. As for the symmetry: F-43m, No. 216. The distance to the lowest polymorph of the same formula comes out at 0.244 eV/atom. Its formation energy from the elements is 0.26 eV/atom.

abc: 6.679 6.679 6.679
angles: 60.00 60.00 60.00
Fractional positions:
1 Er 0.000 0.000 0.000
2 Pm 0.626 0.626 0.123
3 Pm 0.626 0.123 0.626
4 Pm 0.626 0.626 0.626
5 Nd 0.250 0.250 0.250
6 Pm 0.123 0.626 0.626



Below is crystalline Re2PtRh at its relaxed geometry, with properties calculated at the GGA-PBE level.

## Properties
The value obtained for the magnetization is 0.00 μB/f.u. As for the symmetry: Cm, No. 8. The distance to the lowest polymorph of the same formula comes out at 0.054 eV/atom. Its formation energy from the elements is -0.07 eV/atom.

abc: 4.777 4.777 4.846
angles: 81.38 81.38 32.91
Fractional positions:
1 Pt 0.254 0.254 0.247
2 Re 0.002 0.002 0.999
3 Re 0.750 0.750 0.745
4 Rh 0.494 0.494 0.510